Below is an optimized crystal structure of Tl2ZnIn, with properties calculated at the PBE level.

Lattice parameters (Å, degrees): 9.901 9.901 9.901 20.87 20.87 20.87
Fractional positions:
Tl 0.000 0.000 0.000
Tl 0.183 0.183 0.183
Zn 0.592 0.592 0.592
In 0.757 0.757 0.757

Values from the calculation:
Size of the total moment in μB/cell: 0.0
Calculated total energy in eV per cell: -8.23
ΔH_f (0 K) in meV/atom: 130
Space-group type: R3m (160)

***

Below is an optimized crystal structure of CsAsS2Cl, with properties calculated at the PBE level.

Lattice parameters (Å, degrees): 5.526 5.526 6.244 90.00 90.00 90.00
Fractional positions:
Cs 0.000 0.000 0.000
As 0.500 0.500 0.500
S 0.000 0.500 0.000
S 0.500 0.000 0.000
Cl 0.000 0.000 0.500

Values from the calculation:
Size of the total moment in μB/cell: 1.0
Energy relative to the elements, uncorrected in kcal/mol of atoms: 26.21
Calculated total energy in eV per cell: -9.92
Offset from the most stable computed form in eV per atom: 1.620
Space-group type: P4/mmm (123)